[1]
## RbZrCdAu (PBE)

Data for a geometry-optimized RbZrCdAu structure.

Cell lengths 5.071, 5.071, 5.071 Å; angles 60.00, 60.00, 60.00 degrees
Element x y z (fractional)
Rb (0.000, 0.000, 0.000)
Zr (0.250, 0.250, 0.250)
Cd (0.750, 0.750, 0.750)
Au (0.500, 0.500, 0.500)

## Properties
- SG = No. 216
- mass density (g/cm3) = 8.8
- energy above the most stable polymorph in this dataset (eV/f.u.) = 0.00

***

[2]
## Rb2Pt2O5 (PBE)

Data for a geometry-optimized Rb2Pt2O5 structure.

Cell lengths 3.914, 3.914, 9.127 Å; angles 90.00, 90.00, 90.00 degrees
Element x y z (fractional)
Rb (0.000, 0.000, 0.000)
Rb (0.000, 0.000, 0.500)
Pt (0.500, 0.500, 0.231)
Pt (0.500, 0.500, 0.769)
O (0.000, 0.500, 0.270)
O (0.000, 0.500, 0.730)
O (0.500, 0.000, 0.270)
O (0.500, 0.000, 0.730)
O (0.500, 0.500, 0.000)

## Properties
- SG = No. 123
- mass density (g/cm3) = 7.6
- energy above the most stable polymorph in this dataset (eV/f.u.) = 0.00

***

[3]
## BaMgSiPt (PBE)

Data for a geometry-optimized BaMgSiPt structure.

Cell lengths 4.971, 4.971, 4.971 Å; angles 60.00, 60.00, 60.00 degrees
Element x y z (fractional)
Ba (0.000, 0.000, 0.000)
Mg (0.250, 0.250, 0.250)
Si (0.750, 0.750, 0.750)
Pt (0.500, 0.500, 0.500)

## Properties
- SG = No. 216
- mass density (g/cm3) = 7.4
- energy above the most stable polymorph in this dataset (eV/f.u.) = 0.00

***

[4]
## ScNbPd2 (PBE)

Data for a geometry-optimized ScNbPd2 structure.

Cell lengths 4.545, 4.545, 4.545 Å; angles 60.00, 60.00, 60.00 degrees
Element x y z (fractional)
Sc (0.000, 0.000, 0.000)
Nb (0.750, 0.750, 0.750)
Pd (0.250, 0.250, 0.250)
Pd (0.500, 0.500, 0.500)

## Properties
- SG = No. 216
- mass density (g/cm3) = 8.8
- formation energy from the elements (meV/atom) = -342

***

[5]
## DyPbAu (PBE)

Data for a geometry-optimized DyPbAu structure.

Cell lengths 4.812, 4.812, 4.812 Å; angles 60.00, 60.00, 60.00 degrees
Element x y z (fractional)
Dy (0.000, 0.000, 0.000)
Pb (0.500, 0.500, 0.500)
Au (0.250, 0.250, 0.250)

## Properties
- SG = No. 216
- electronic total energy (eV for the cell shown) = -13.62
- mass density (g/cm3) = 11.9

***

[6]
## PmTl (PBE)

Data for a geometry-optimized PmTl structure.

Cell lengths 4.679, 4.679, 7.022 Å; angles 90.00, 90.00, 120.00 degrees
Element x y z (fractional)
Pm (0.000, 0.000, 0.000)
Pm (0.000, 0.000, 0.500)
Tl (0.333, 0.667, 0.250)
Tl (0.667, 0.333, 0.750)

## Properties
- SG = No. 194
- electronic total energy (eV for the cell shown) = -14.13
- mass density (g/cm3) = 8.7